1.
Material: SrCd2Fe
Method: DFT, GGA-PBEsol
State: optimized geometry

Summary:
Formation energy in meV/atom: 302
Electronic total energy in eV/atom: -2.997

Cell and atoms, written as CIF:
```
data_SrCd2Fe
_cell_length_a 3.262
_cell_length_b 5.132
_cell_length_c 10.525
_cell_angle_alpha 90.00
_cell_angle_beta 90.00
_cell_angle_gamma 90.00
_space_group_name_H-M_alt 'I m m m'
_space_group_IT_number 71
_space_group_name_Hall '-I 2 2'
loop_
_atom_site_label
_atom_site_type_symbol
_atom_site_fract_x
_atom_site_fract_y
_atom_site_fract_z
Sr1 Sr 0.000 0.000 0.000
Cd1 Cd 0.000 0.500 0.207
Fe1 Fe 0.000 0.000 0.500
```

2.
Material: Ta3CdFe
Method: DFT, GGA-PBEsol
State: optimized geometry

Summary:
Formation energy in meV/atom: 2607
Electronic total energy in eV/atom: -6.956

Cell and atoms, written as CIF:
```
data_Ta3CdFe
_cell_length_a 4.871
_cell_length_b 4.871
_cell_length_c 4.871
_cell_angle_alpha 90.00
_cell_angle_beta 90.00
_cell_angle_gamma 90.00
_space_group_name_H-M_alt 'P m -3 m'
_space_group_IT_number 221
_space_group_name_Hall '-P 4 2 3'
loop_
_atom_site_label
_atom_site_type_symbol
_atom_site_fract_x
_atom_site_fract_y
_atom_site_fract_z
Ta1 Ta 0.000 0.000 0.500
Cd1 Cd 0.000 0.000 0.000
Fe1 Fe 0.500 0.500 0.500
```